# Na7Tl12Cd, relaxed, DFT PBE
# **Total DFT energy (no corrections)**: -1.99 eV/atom
# **Energy of formation**: -0.06 eV/atom
# **Excess energy over the best structure of this formula in the dataset**: 0.0000 eV per atom
# **N(E_F)**: 32.8 states/eV/cell
data_Na7Tl12Cd
_chemical_formula_sum 'Na21 Tl36 Cd3'
_cell_length_a 14.3492
_cell_length_b 14.3492
_cell_length_c 9.7564
_cell_angle_alpha 90.00
_cell_angle_beta 90.00
_cell_angle_gamma 120.00
_symmetry_space_group_name_H-M 'R -3'
_symmetry_Int_Tables_number 148
_symmetry_space_group_name_Hall '-R 3'
loop_
_atom_site_label
_atom_site_type_symbol
_atom_site_fract_x
_atom_site_fract_y
_atom_site_fract_z
_atom_site_occupancy
Na1 Na 0.0000 0.0000 0.0000 1
Na2 Na 0.0649 0.8087 0.4300 1
Tl1 Tl 0.0413 0.7961 0.0660 1
Tl2 Tl 0.0448 0.8637 0.7442 1
Cd1 Cd 0.0000 0.0000 0.5000 1



# Na3Tl2Cd6, relaxed, DFT PBE
# **Total DFT energy (no corrections)**: -1.28 eV/atom
# **Energy of formation**: 0.01 eV/atom
# **N(E_F)**: 4.7 states/eV/cell
data_Na3Tl2Cd6
_chemical_formula_sum 'Na3 Tl2 Cd6'
_cell_length_a 8.4765
_cell_length_b 8.4765
_cell_length_c 4.9171
_cell_angle_alpha 90.00
_cell_angle_beta 90.00
_cell_angle_gamma 120.00
_symmetry_space_group_name_H-M 'P -6 2 m'
_symmetry_Int_Tables_number 189
_symmetry_space_group_name_Hall 'P -6 -2'
loop_
_atom_site_label
_atom_site_type_symbol
_atom_site_fract_x
_atom_site_fract_y
_atom_site_fract_z
_atom_site_occupancy
Na1 Na 0.0000 0.5547 0.0000 1
Tl1 Tl 0.3333 0.6667 0.5000 1
Cd1 Cd 0.0000 0.2089 0.0000 1
Cd2 Cd 0.0000 0.7818 0.5000 1



# Na4Tl4Cd, relaxed, DFT PBE
# **Total DFT energy (no corrections)**: -1.68 eV/atom
# **Energy of formation**: 0.06 eV/atom
# **Excess energy over the best structure of this formula in the dataset**: 0.1564 eV per atom
# **N(E_F)**: 4.3 states/eV/cell
data_Na4Tl4Cd
_chemical_formula_sum 'Na8 Tl8 Cd2'
_cell_length_a 7.989
_cell_length_b 7.989
_cell_length_c 8.689
_cell_angle_alpha 90.00
_cell_angle_beta 90.00
_cell_angle_gamma 90.00
_symmetry_space_group_name_H-M 'I -4 2 m'
_symmetry_Int_Tables_number 121
_symmetry_space_group_name_Hall 'I -4 2'
loop_
_atom_site_label
_atom_site_type_symbol
_atom_site_fract_x
_atom_site_fract_y
_atom_site_fract_z
_atom_site_occupancy
Na1 Na 0.000 0.000 0.149 1
Na2 Na 0.000 0.500 0.000 1
Tl1 Tl 0.247 0.247 0.741 1
Cd1 Cd 0.000 0.000 0.500 1



# Na2Tl4Cd, relaxed, DFT PBE
# **Total DFT energy (no corrections)**: -1.79 eV/atom
# **Energy of formation**: 0.07 eV/atom
# **Excess energy over the best structure of this formula in the dataset**: 0.0000 eV per atom
# **N(E_F)**: 6.4 states/eV/cell
data_Na2Tl4Cd
_chemical_formula_sum 'Na4 Tl8 Cd2'
_cell_length_a 6.177
_cell_length_b 15.397
_cell_length_c 5.267
_cell_angle_alpha 90.00
_cell_angle_beta 90.00
_cell_angle_gamma 90.00
_symmetry_space_group_name_H-M 'C m m m'
_symmetry_Int_Tables_number 65
_symmetry_space_group_name_Hall '-C 2 2'
loop_
_atom_site_label
_atom_site_type_symbol
_atom_site_fract_x
_atom_site_fract_y
_atom_site_fract_z
_atom_site_occupancy
Na1 Na 0.000 0.146 0.000 1
Tl1 Tl 0.000 0.285 0.500 1
Tl2 Tl 0.000 0.397 0.000 1
Cd1 Cd 0.000 0.500 0.500 1



# NaTl10Cd2, relaxed, DFT PBE
# **Total DFT energy (no corrections)**: -2.03 eV/atom
# **Energy of formation**: 0.03 eV/atom
# **N(E_F)**: 28.8 states/eV/cell
data_NaTl10Cd2
_chemical_formula_sum 'Na4 Tl40 Cd8'
_cell_length_a 6.283
_cell_length_b 15.990
_cell_length_c 16.092
_cell_angle_alpha 90.00
_cell_angle_beta 90.00
_cell_angle_gamma 90.00
_symmetry_space_group_name_H-M 'F m m m'
_symmetry_Int_Tables_number 69
_symmetry_space_group_name_Hall '-F 2 2'
loop_
_atom_site_label
_atom_site_type_symbol
_atom_site_fract_x
_atom_site_fract_y
_atom_site_fract_z
_atom_site_occupancy
Na1 Na 0.000 0.000 0.000 1
Tl1 Tl 0.000 0.108 0.398 1
Tl2 Tl 0.000 0.181 0.174 1
Tl3 Tl 0.250 0.000 0.250 1
Cd1 Cd 0.250 0.250 0.000 1



# Na3Tl2Cd3, relaxed, DFT PBE
# **Total DFT energy (no corrections)**: -1.50 eV/atom
# **Energy of formation**: -0.07 eV/atom
# **Excess energy over the best structure of this formula in the dataset**: 0.0000 eV per atom
# **N(E_F)**: 12.2 states/eV/cell
data_Na3Tl2Cd3
_chemical_formula_sum 'Na12 Tl8 Cd12'
_cell_length_a 5.169
_cell_length_b 11.454
_cell_length_c 14.928
_cell_angle_alpha 90.00
_cell_angle_beta 90.00
_cell_angle_gamma 90.00
_symmetry_space_group_name_H-M 'C m c m'
_symmetry_Int_Tables_number 63
_symmetry_space_group_name_Hall '-C 2c 2'
loop_
_atom_site_label
_atom_site_type_symbol
_atom_site_fract_x
_atom_site_fract_y
_atom_site_fract_z
_atom_site_occupancy
Na1 Na 0.000 0.070 0.102 1
Na2 Na 0.000 0.286 0.250 1
Tl1 Tl 0.000 0.237 0.603 1
Cd1 Cd 0.000 0.407 0.065 1
Cd2 Cd 0.000 0.437 0.750 1